[1]
# TaCdPbS2 PBE optimized geometry
data_TaCdPbS2
_chemical_formula_sum 'Ta1 Cd1 Pb1 S2'
_cell_length_a 4.9168
_cell_length_b 4.9168
_cell_length_c 5.4059
_cell_angle_alpha 90.00
_cell_angle_beta 90.00
_cell_angle_gamma 90.00
_symmetry_space_group_name_H-M 'P 4/m m m'
_symmetry_Int_Tables_number 123
_symmetry_space_group_name_Hall '-P 4 2'
loop_
_atom_site_label
_atom_site_type_symbol
_atom_site_fract_x
_atom_site_fract_y
_atom_site_fract_z
_atom_site_occupancy
Ta1 Ta 0.0000 0.0000 0.0000 1
Cd1 Cd 0.0000 0.0000 0.5000 1
Pb1 Pb 0.5000 0.5000 0.0000 1
S1 S 0.0000 0.5000 0.5000 1
# formation energy without anion corrections = 1175 meV/atom
# N(E_F) = 6.79 states/eV per cell

[2]
# UCdPb2S6 PBE optimized geometry
data_UCdPb2S6
_chemical_formula_sum 'U3 Cd3 Pb6 S18'
_cell_length_a 7.1103
_cell_length_b 7.1103
_cell_length_c 18.0220
_cell_angle_alpha 90.00
_cell_angle_beta 90.00
_cell_angle_gamma 120.00
_symmetry_space_group_name_H-M 'R 3'
_symmetry_Int_Tables_number 146
_symmetry_space_group_name_Hall 'R 3'
loop_
_atom_site_label
_atom_site_type_symbol
_atom_site_fract_x
_atom_site_fract_y
_atom_site_fract_z
_atom_site_occupancy
U1 U 0.0000 0.0000 0.0000 1
Cd1 Cd 0.0000 0.0000 0.5098 1
Pb1 Pb 0.0000 0.0000 0.2993 1
Pb2 Pb 0.0000 0.0000 0.7919 1
S1 S 0.0031 0.4043 0.7428 1
S2 S 0.0720 0.7107 0.5779 1
# formation energy without anion corrections = -745 meV/atom

[3]
# CdSb2Pb PBE optimized geometry
data_CdSb2Pb
_chemical_formula_sum 'Cd2 Sb4 Pb2'
_cell_length_a 5.0349
_cell_length_b 5.0349
_cell_length_c 8.8486
_cell_angle_alpha 90.00
_cell_angle_beta 90.00
_cell_angle_gamma 90.00
_symmetry_space_group_name_H-M 'I -4 m 2'
_symmetry_Int_Tables_number 119
_symmetry_space_group_name_Hall 'I -4 -2'
loop_
_atom_site_label
_atom_site_type_symbol
_atom_site_fract_x
_atom_site_fract_y
_atom_site_fract_z
_atom_site_occupancy
Cd1 Cd 0.0000 0.0000 0.0000 1
Sb1 Sb 0.0000 0.0000 0.5000 1
Sb2 Sb 0.0000 0.5000 0.2500 1
Pb1 Pb 0.0000 0.5000 0.7500 1
# formation energy without anion corrections = 139 meV/atom
# N(E_F) = 3.79 states/eV per cell

[4]
# CdSbPb2 PBE optimized geometry
data_CdSbPb2
_chemical_formula_sum 'Cd3 Sb3 Pb6'
_cell_length_a 3.4584
_cell_length_b 3.4584
_cell_length_c 33.5425
_cell_angle_alpha 90.00
_cell_angle_beta 90.00
_cell_angle_gamma 120.00
_symmetry_space_group_name_H-M 'R -3 m'
_symmetry_Int_Tables_number 166
_symmetry_space_group_name_Hall '-R 3 2"'
loop_
_atom_site_label
_atom_site_type_symbol
_atom_site_fract_x
_atom_site_fract_y
_atom_site_fract_z
_atom_site_occupancy
Cd1 Cd 0.0000 0.0000 0.0000 1
Sb1 Sb 0.0000 0.0000 0.5000 1
Pb1 Pb 0.0000 0.0000 0.2501 1
# formation energy without anion corrections = 88 meV/atom
# N(E_F) = 3.56 states/eV per cell

[5]
# Cd3Sb3Pb PBE optimized geometry
data_Cd3Sb3Pb
_chemical_formula_sum 'Cd6 Sb6 Pb2'
_cell_length_a 7.9735
_cell_length_b 7.9735
_cell_length_c 7.9735
_cell_angle_alpha 90.00
_cell_angle_beta 90.00
_cell_angle_gamma 90.00
_symmetry_space_group_name_H-M 'P m -3 n'
_symmetry_Int_Tables_number 223
_symmetry_space_group_name_Hall '-P 4n 2 3'
loop_
_atom_site_label
_atom_site_type_symbol
_atom_site_fract_x
_atom_site_fract_y
_atom_site_fract_z
_atom_site_occupancy
Cd1 Cd 0.0000 0.2500 0.5000 1
Sb1 Sb 0.0000 0.5000 0.2500 1
Pb1 Pb 0.0000 0.0000 0.0000 1
# formation energy without anion corrections = 337 meV/atom
# N(E_F) = 10.48 states/eV per cell
# polymorph energy (0 for the lowest one) = 2.26 eV/f.u.

[6]
# CdSbPb2 PBE optimized geometry
data_CdSbPb2
_chemical_formula_sum 'Cd2 Sb2 Pb4'
_cell_length_a 4.4173
_cell_length_b 5.2736
_cell_length_c 9.8914
_cell_angle_alpha 90.00
_cell_angle_beta 90.00
_cell_angle_gamma 90.00
_symmetry_space_group_name_H-M 'C m m m'
_symmetry_Int_Tables_number 65
_symmetry_space_group_name_Hall '-C 2 2'
loop_
_atom_site_label
_atom_site_type_symbol
_atom_site_fract_x
_atom_site_fract_y
_atom_site_fract_z
_atom_site_occupancy
Cd1 Cd 0.0000 0.0000 0.0000 1
Sb1 Sb 0.0000 0.0000 0.5000 1
Pb1 Pb 0.0000 0.5000 0.2406 1
# formation energy without anion corrections = 96 meV/atom
# N(E_F) = 4.08 states/eV per cell

Question: Which formula does entry 5 have?
Answer: Cd3Sb3Pb